Ta2Ni at its PBEsol-relaxed geometry, computed with SCAN.

VASP energy ... -50.042 eV/atom
ρ ... 15.31 g/cm3
Energy relative to the elements ... -75.9 kJ/mol of formula units

a b c (Å): 4.9764 4.9764 4.9764
angles (deg): 103.48 103.48 122.27
Fractional coordinates of all 6 atoms:
Ta 0.1587 0.6587 0.8175
Ta 0.3413 0.1587 0.5000
Ta 0.6587 0.8413 0.5000
Ta 0.8413 0.3413 0.1825
Ni 0.2500 0.2500 0.0000
Ni 0.7500 0.7500 0.0000